Record 1
CuTcHg2: relaxed, PBE-GGA.

Summary:
Offset from the most stable computed form ... 120 meV/atom
Total moment ... 0.00 μB/f.u.

Cell and atoms, written as POSCAR:
```
CuTcHg2
1.0
4.694 -1.427 0.000
4.694 1.427 0.000
-1.058 0.000 5.243
Cu Tc Hg
1 1 2
direct
0.000 0.000 0.000
0.500 0.500 0.500
0.256 0.256 0.753
0.744 0.744 0.247
```

Record 2
CuTcHg2: relaxed, PBE-GGA.

Summary:
Offset from the most stable computed form ... 230 meV/atom
Total moment ... 2.24 μB/f.u.

Cell and atoms, written as POSCAR:
```
CuTcHg2
1.0
0.000 3.295 3.295
3.295 0.000 3.295
3.295 3.295 0.000
Cu Tc Hg
1 1 2
direct
0.000 0.000 0.000
0.750 0.750 0.750
0.250 0.250 0.250
0.500 0.500 0.500
```

no.,calculated formation energy (eV/atom),V (Å³/cell)
1,0.589,70.25
2,0.699,71.56